# 1
DFT (PBE) results for a relaxed RuSe crystal.

abc: 5.033 5.033 5.033
angles: 90.00 90.00 90.00
Space group P2_13 (No. 198)
Inequivalent atoms, fractional coordinates:
Ru (0.072, 0.428, 0.572) [4 per cell]
Se (0.056, 0.944, 0.444) [4 per cell]

Computed properties:
Volume (Å³/cell): 127
Uncorrected energy (eV per cell): -50.57
N(E_F) (states/eV per atom): 0.411

---

# 2
DFT (PBE) results for a relaxed Tc3SnN crystal.

abc: 5.167 7.809 7.402
angles: 90.00 90.00 90.00
Space group Pnma (No. 62)
Inequivalent atoms, fractional coordinates:
Tc (0.016, 0.085, 0.149) [8 per cell]
Tc (0.239, 0.250, 0.806) [4 per cell]
Sn (0.000, 0.000, 0.500) [4 per cell]
N (0.089, 0.750, 0.049) [4 per cell]

Computed properties:
Volume (Å³/cell): 299
Energy relative to the lowest polymorph listed for this composition (eV per atom): 0.242
N(E_F) (states/eV per atom): 1.771

---

# 3
DFT (PBE) results for a relaxed KTlRe crystal.

abc: 3.699 3.699 12.498
angles: 90.00 90.00 90.00
Space group I4mm (No. 107)
Inequivalent atoms, fractional coordinates:
K (0.000, 0.000, 0.000) [2 per cell]
Tl (0.000, 0.000, 0.725) [2 per cell]
Re (0.000, 0.000, 0.284) [2 per cell]

Computed properties:
Formation energy from the elements (kJ/mol of atoms): 123
Volume (Å³/cell): 171
Energy relative to the lowest polymorph listed for this composition (eV per atom): 0.203
N(E_F) (states/eV per atom): 1.476

---

# 4
DFT (PBE) results for a relaxed ScZn2Ni crystal.

abc: 3.766 3.766 4.351
angles: 90.00 90.00 90.00
Space group P4/mmm (No. 123)
Inequivalent atoms, fractional coordinates:
Sc (0.000, 0.000, 0.000) [1 per cell]
Zn (0.000, 0.500, 0.500) [2 per cell]
Ni (0.500, 0.500, 0.000) [1 per cell]

Computed properties:
Formation energy from the elements (kJ/mol of atoms): -25
Volume (Å³/cell): 62
N(E_F) (states/eV per atom): 0.627

---

# 5
DFT (PBE) results for a relaxed ScPtW4 crystal.

abc: 7.507 7.507 7.507
angles: 90.00 90.00 90.00
Space group F-43m (No. 216)
Inequivalent atoms, fractional coordinates:
Sc (0.000, 0.000, 0.000) [4 per cell]
Pt (0.250, 0.250, 0.750) [4 per cell]
W (0.127, 0.127, 0.373) [16 per cell]

Computed properties:
Formation energy from the elements (kJ/mol of atoms): 20
Volume (Å³/cell): 423
N(E_F) (states/eV per atom): 0.969

---

# 6
DFT (PBE) results for a relaxed ScIr3Br crystal.

abc: 4.833 4.833 4.833
angles: 90.00 90.00 90.00
Space group Pm-3m (No. 221)
Inequivalent atoms, fractional coordinates:
Sc (0.000, 0.000, 0.000) [1 per cell]
Ir (0.000, 0.000, 0.500) [3 per cell]
Br (0.500, 0.500, 0.500) [1 per cell]

Computed properties:
Volume (Å³/cell): 113
Energy relative to the lowest polymorph listed for this composition (eV per atom): 0.617
N(E_F) (states/eV per atom): 1.691